[1]
DFT (PBE) results for a geometry-optimized BaCeNd4Se8 structure.

Summary:
* E: -79.72 eV for the cell shown
* space group: R3m
* calculated volume: 35.2 Å³ per atom

Unit cell a=8.872 b=8.872 c=8.872 alpha=59.87 beta=59.87 gamma=59.87
Fractional coordinates of all 14 atoms:
Ba 0.000 0.000 0.000
Ce 0.625 0.625 0.625
Nd 0.120 0.626 0.626
Nd 0.249 0.249 0.249
Nd 0.626 0.120 0.626
Nd 0.626 0.626 0.120
Se 0.380 0.380 0.853
Se 0.380 0.853 0.380
Se 0.382 0.382 0.382
Se 0.422 0.859 0.859
Se 0.853 0.380 0.380
Se 0.859 0.422 0.859
Se 0.859 0.859 0.422
Se 0.859 0.859 0.859



[2]
DFT (PBE) results for a geometry-optimized SrTlBrF2 structure.

Summary:
* E: -22.01 eV for the cell shown
* space group: P4/mmm
* calculated volume: 28.5 Å³ per atom

Unit cell a=4.752 b=4.752 c=6.302 alpha=90.00 beta=90.00 gamma=90.00
Fractional coordinates of all 5 atoms:
Sr 0.000 0.000 0.000
Tl 0.500 0.500 0.500
Br 0.000 0.000 0.500
F 0.000 0.500 0.000
F 0.500 0.000 0.000